# 1
The following is a meta-GGA SCAN calculation of Na2MgTiFe at its PBEsol-relaxed geometry, from the Alexandria database.

```
Na2MgTiFe
1.0
4.1933 0.0000 0.0000
0.0000 5.4096 0.0000
0.0000 0.0000 5.4096
Fe Na Mg Ti
1 2 1 1
Direct
0.0000 0.0000 0.0000
0.0000 0.5000 0.0000
0.0000 0.0000 0.5000
0.5000 0.5000 0.5000
0.5000 0.0000 0.0000
```

Results
For the total magnetization, the calculation gives 0.36 μB/f.u. Its space-group type is P4/mmm, No. 123. The formation energy is 0.809 eV per atom. The calculation puts the uncorrected energy at -43.5 eV per cell.

# 2
The following is a meta-GGA SCAN calculation of LaScCl2 at its PBEsol-relaxed geometry, from the Alexandria database.

```
LaScCl2
1.0
3.6099 0.0000 0.0000
0.0000 3.6099 0.0000
0.0000 0.0000 6.9473
Sc Cl La
1 2 1
Direct
0.5000 0.5000 0.8506
0.5000 0.5000 0.2387
0.0000 0.0000 0.9187
0.0000 0.0000 0.4920
```

Results
For the total magnetization, the calculation gives 0.32 μB/f.u. As for the formation energy (no corrections): -1591 meV/atom. For the polymorph energy (0 for the lowest one), the calculation gives 0 meV/atom. Its space-group type is P4mm, No. 99. The calculation puts the uncorrected energy at -79.7 eV per cell.

# 3
The following is a meta-GGA SCAN calculation of BaScS2N at its PBEsol-relaxed geometry, from the Alexandria database.

```
BaScS2N
1.0
4.3870 0.0000 0.0000
0.0000 5.5054 0.0000
0.0000 0.0000 5.5054
S Sc N Ba
2 1 1 1
Direct
0.0000 0.0000 0.5000
0.0000 0.5000 0.0000
0.5000 0.5000 0.5000
0.5000 0.0000 0.0000
0.0000 0.0000 0.0000
```

Results
For the total magnetization, the calculation gives 0.65 μB/f.u. As for the formation energy (no corrections): 571 meV/atom. For the polymorph energy (0 for the lowest one), the calculation gives 1985 meV/atom. Its space-group type is P4/mmm, No. 123. The calculation puts the uncorrected energy at -79.5 eV per cell.

# 4
The following is a meta-GGA SCAN calculation of MoIr2 at its PBEsol-relaxed geometry, from the Alexandria database.

```
MoIr2
1.0
-1.8328 -3.0504 -1.4984
2.1536 0.2746 -3.1932
7.6939 -5.6367 7.0390
Ir Mo
8 4
Direct
0.8332 0.3332 0.6665
0.6668 0.1668 0.3335
0.9989 0.4989 0.9979
0.2511 0.2511 0.5021
0.4168 0.4168 0.8335
0.5011 0.0011 0.0021
0.5832 0.5832 0.1665
0.7489 0.7489 0.4979
0.3334 0.8334 0.6667
0.9166 0.9166 0.8333
0.1666 0.6666 0.3333
0.0834 0.0834 0.1667
```

Results
For the total magnetization, the calculation gives 0.00 μB/f.u. Its space-group type is I4_1/amd, No. 141. The formation energy is -0.347 eV per atom. The calculation puts the uncorrected energy at -712.5 eV per cell.

# 5
The following is a meta-GGA SCAN calculation of AlH2RhI at its PBEsol-relaxed geometry, from the Alexandria database.

```
AlH2RhI
1.0
-1.9340 -2.6319 1.5413
3.0488 -1.6167 1.0649
-0.1594 3.4639 5.7150
Al H Rh I
1 2 1 1
Direct
0.0000 0.0000 0.5000
0.0000 0.5000 0.0000
0.5000 0.0000 0.0000
0.5000 0.5000 0.5000
0.0000 0.0000 0.0000
```

Results
For the total magnetization, the calculation gives 0.00 μB/f.u. Its space-group type is P4/mmm, No. 123. The calculation puts the uncorrected energy at -81.7 eV per cell.

# 6
The following is a meta-GGA SCAN calculation of KMgPCl2 at its PBEsol-relaxed geometry, from the Alexandria database.

```
KMgPCl2
1.0
-0.2148 -2.4938 -4.8515
0.2912 -4.8536 2.4820
-5.7364 -0.1697 0.3412
Cl Mg K P
2 1 1 1
Direct
0.5000 0.0000 0.0000
0.0000 0.5000 0.0000
0.5000 0.5000 0.5000
0.0000 0.0000 0.0000
0.0000 0.0000 0.5000
```

Results
For the total magnetization, the calculation gives 2.00 μB/f.u. As for the formation energy (no corrections): -32 meV/atom. Its space-group type is P4/mmm, No. 123. The calculation puts the uncorrected energy at -39.8 eV per cell.